# VGaO, relaxed, DFT GGA+U
data_VGaO
_cell_length_a 2.8091
_cell_length_b 2.8091
_cell_length_c 10.8804
_cell_angle_alpha 90.00
_cell_angle_beta 90.00
_cell_angle_gamma 120.00
_symmetry_space_group_name_H-M 'P -6 m 2'
_symmetry_Int_Tables_number 187
_symmetry_space_group_name_Hall 'P -6 2'
loop_
_atom_site_label
_atom_site_fract_x
_atom_site_fract_y
_atom_site_fract_z
_atom_site_occupancy
V1 0.0000 0.0000 0.0000 1
V2 0.3333 0.6667 0.5000 1
Ga1 0.0000 0.0000 0.3039 1
O1 0.3333 0.6667 0.1107 1
# DOS at the Fermi energy: 2.07 states/eV/cell
# ρ: 6.10 Mg/m³
# E_tot: -16.8 eV/f.u.